Below is an optimized crystal structure of Tm5In4Ga, with properties calculated at the GGA-PBE level.

Cell lengths 3.582, 3.582, 19.453 Å; angles 90.00, 90.00, 90.00 degrees
Atoms (fractional coordinates):
1 In 0.000 0.000 0.192
2 In 0.000 0.000 0.397
3 In 0.000 0.000 0.808
4 In 0.000 0.000 0.603
5 Tm 0.500 0.500 0.500
6 Tm 0.500 0.500 0.706
7 Tm 0.500 0.500 0.089
8 Tm 0.500 0.500 0.911
9 Tm 0.500 0.500 0.294
10 Ga 0.000 0.000 0.000

Summary:
size of the total moment: 0.000 μB/f.u.
energy: -4.08 eV per atom
DOS(E_F): 0.5084 states/eV/atom
calculated density: 9.137 g/cm3

=====

Below is an optimized crystal structure of Tm7InGa5, with properties calculated at the GGA-PBE level.

Cell lengths 6.129, 7.766, 7.766 Å; angles 80.07, 66.76, 66.76 degrees
Atoms (fractional coordinates):
1 Tm 0.275 0.225 0.225
2 Tm 0.524 0.799 0.152
3 Tm 0.000 0.677 0.323
4 Tm 0.637 0.363 0.363
5 Tm 0.281 0.719 0.719
6 Tm 0.000 0.323 0.677
7 Tm 0.524 0.152 0.799
8 Ga 0.517 0.999 0.485
9 Ga 0.517 0.485 0.999
10 Ga 0.999 0.999 0.485
11 Ga 0.765 0.735 0.735
12 Ga 0.999 0.485 0.999
13 In 0.963 0.037 0.037

Summary:
size of the total moment: 0.000 μB/f.u.
energy: -4.16 eV per atom
DOS(E_F): 0.7172 states/eV/atom
calculated density: 8.759 g/cm3

=====

Below is an optimized crystal structure of Tm2InGa, with properties calculated at the GGA-PBE level.

Cell lengths 5.134, 5.134, 5.134 Å; angles 60.00, 60.00, 60.00 degrees
Atoms (fractional coordinates):
1 Tm 0.250 0.250 0.250
2 Tm 0.750 0.750 0.750
3 In 0.000 0.000 0.000
4 Ga 0.500 0.500 0.500

Summary:
size of the total moment: 0.000 μB/f.u.
energy: -4.15 eV per atom
distance to the lowest polymorph of the same formula: 0.022 eV/atom
DOS(E_F): 0.3534 states/eV/atom
calculated density: 9.065 g/cm3

=====

Copy entry 2 word for word.
Below is an optimized crystal structure of Tm7InGa5, with properties calculated at the GGA-PBE level.

Cell lengths 6.129, 7.766, 7.766 Å; angles 80.07, 66.76, 66.76 degrees
Atoms (fractional coordinates):
1 Tm 0.275 0.225 0.225
2 Tm 0.524 0.799 0.152
3 Tm 0.000 0.677 0.323
4 Tm 0.637 0.363 0.363
5 Tm 0.281 0.719 0.719
6 Tm 0.000 0.323 0.677
7 Tm 0.524 0.152 0.799
8 Ga 0.517 0.999 0.485
9 Ga 0.517 0.485 0.999
10 Ga 0.999 0.999 0.485
11 Ga 0.765 0.735 0.735
12 Ga 0.999 0.485 0.999
13 In 0.963 0.037 0.037

Summary:
size of the total moment: 0.000 μB/f.u.
energy: -4.16 eV per atom
DOS(E_F): 0.7172 states/eV/atom
calculated density: 8.759 g/cm3

=====

Q: The lowest calculated density belongs to which entry?
A: Tm7InGa5

=====

Q: The lowest energy belongs to which entry?
A: Tm7InGa5